[1]
Computed, not measured: a geometry-optimized FeCu4Te structure at the PBE-GGA level of DFT. Values from VASP.

Structure (Quantum ESPRESSO input):
```
&SYSTEM
  ibrav = 0, nat = 6, ntyp = 3
/
ATOMIC_SPECIES
Cu 63.55 Cu.upf
Te 127.60 Te.upf
Fe 55.84 Fe.upf
ATOMIC_POSITIONS crystal
Cu 0.873 0.376 0.376
Cu 0.376 0.873 0.376
Cu 0.376 0.376 0.376
Te 0.000 0.000 0.000
Fe 0.750 0.750 0.750
Cu 0.376 0.376 0.873
CELL_PARAMETERS angstrom
-0.403 2.673 4.169
-0.380 4.949 -0.248
-4.301 2.221 1.121
```

Values from the calculation:
- Space-group type: No. 216
- Total magnetic moment: 0.50 μB/atom
- Energy: -4.369 eV per atom
- DOS at the Fermi energy: 0.8833 states/eV/atom
- Raw formation energy: 1.775 eV per formula unit

[2]
Computed, not measured: a geometry-optimized FeCuTe structure at the PBE-GGA level of DFT. Values from VASP.

Structure (Quantum ESPRESSO input):
```
&SYSTEM
  ibrav = 0, nat = 3, ntyp = 3
/
ATOMIC_SPECIES
Fe 55.84 Fe.upf
Te 127.60 Te.upf
Cu 63.55 Cu.upf
ATOMIC_POSITIONS crystal
Fe 0.750 0.750 0.750
Te 0.000 0.000 0.000
Cu 0.500 0.500 0.500
CELL_PARAMETERS angstrom
4.200 0.000 0.000
2.100 3.637 0.000
2.100 1.212 3.429
```

Values from the calculation:
- Space-group type: No. 216
- Total magnetic moment: 0.72 μB/atom
- Energy above the lowest structure with this stoichiometry: 81 meV/atom
- Energy: -5.016 eV per atom
- DOS at the Fermi energy: 1.7161 states/eV/atom
- Raw formation energy: 0.651 eV per formula unit

[3]
Computed, not measured: a geometry-optimized FeCuTe4 structure at the PBE-GGA level of DFT. Values from VASP.

Structure (Quantum ESPRESSO input):
```
&SYSTEM
  ibrav = 0, nat = 6, ntyp = 3
/
ATOMIC_SPECIES
Cu 63.55 Cu.upf
Te 127.60 Te.upf
Fe 55.84 Fe.upf
ATOMIC_POSITIONS crystal
Cu 0.500 0.000 0.500
Te 0.000 0.786 0.675
Te 0.500 0.728 0.118
Te 0.500 0.272 0.882
Fe 0.000 0.000 0.000
Te 0.000 0.214 0.325
CELL_PARAMETERS angstrom
3.948 0.000 0.000
0.000 5.426 0.024
0.000 0.066 6.946
```

Values from the calculation:
- Space-group type: No. 10
- Total magnetic moment: 0.06 μB/atom
- Energy above the lowest structure with this stoichiometry: 0 meV/atom
- Energy: -4.244 eV per atom
- DOS at the Fermi energy: 0.6601 states/eV/atom
- Raw formation energy: -0.335 eV per formula unit

[4]
Computed, not measured: a geometry-optimized FeCuTe structure at the PBE-GGA level of DFT. Values from VASP.

Structure (Quantum ESPRESSO input):
```
&SYSTEM
  ibrav = 0, nat = 6, ntyp = 3
/
ATOMIC_SPECIES
Fe 55.84 Fe.upf
Cu 63.55 Cu.upf
Te 127.60 Te.upf
ATOMIC_POSITIONS crystal
Fe 0.196 0.250 0.871
Cu 0.405 0.872 0.544
Te 0.618 0.496 0.232
Cu 0.595 0.128 0.456
Fe 0.804 0.750 0.129
Te 0.382 0.504 0.768
CELL_PARAMETERS angstrom
-4.567 0.091 1.618
-0.790 -2.072 3.120
10.568 5.461 -0.291
```

Values from the calculation:
- Space-group type: No. 2
- Total magnetic moment: 0.83 μB/atom
- Energy above the lowest structure with this stoichiometry: 94 meV/atom
- Energy: -5.004 eV per atom
- DOS at the Fermi energy: 0.5242 states/eV/atom
- Raw formation energy: 0.688 eV per formula unit

[5]
Computed, not measured: a geometry-optimized FeCuTe4 structure at the PBE-GGA level of DFT. Values from VASP.

Structure (Quantum ESPRESSO input):
```
&SYSTEM
  ibrav = 0, nat = 6, ntyp = 3
/
ATOMIC_SPECIES
Te 127.60 Te.upf
Cu 63.55 Cu.upf
Fe 55.84 Fe.upf
ATOMIC_POSITIONS crystal
Te 0.375 0.375 0.375
Cu 0.750 0.750 0.750
Fe 0.000 0.000 0.000
Te 0.375 0.375 0.875
Te 0.375 0.875 0.375
Te 0.875 0.375 0.375
CELL_PARAMETERS angstrom
-0.430 3.584 5.104
-3.618 5.098 -0.056
-5.303 0.105 3.308
```

Values from the calculation:
- Space-group type: No. 216
- Total magnetic moment: 0.63 μB/atom
- Energy above the lowest structure with this stoichiometry: 1125 meV/atom
- Energy: -3.119 eV per atom
- DOS at the Fermi energy: 1.3647 states/eV/atom
- Raw formation energy: 6.412 eV per formula unit

[6]
Computed, not measured: a geometry-optimized FeCuTe2 structure at the PBE-GGA level of DFT. Values from VASP.

Structure (Quantum ESPRESSO input):
```
&SYSTEM
  ibrav = 0, nat = 4, ntyp = 3
/
ATOMIC_SPECIES
Te 127.60 Te.upf
Fe 55.84 Fe.upf
Cu 63.55 Cu.upf
ATOMIC_POSITIONS crystal
Te 0.049 0.049 0.000
Fe 0.204 0.704 0.500
Te 0.791 0.291 0.500
Cu 0.456 0.456 0.000
CELL_PARAMETERS angstrom
6.942 0.013 0.007
5.081 4.729 -0.007
-5.968 -2.480 2.532
```

Values from the calculation:
- Space-group type: No. 44
- Total magnetic moment: 0.63 μB/atom
- Energy: -4.457 eV per atom
- DOS at the Fermi energy: 0.9064 states/eV/atom
- Raw formation energy: 1.015 eV per formula unit

[7]
Computed, not measured: a geometry-optimized FeCuTe structure at the PBE-GGA level of DFT. Values from VASP.

Structure (Quantum ESPRESSO input):
```
&SYSTEM
  ibrav = 0, nat = 6, ntyp = 3
/
ATOMIC_SPECIES
Fe 55.84 Fe.upf
Cu 63.55 Cu.upf
Te 127.60 Te.upf
ATOMIC_POSITIONS crystal
Fe 0.000 0.000 0.500
Fe 0.500 0.500 0.500
Cu 0.500 0.000 0.220
Te 0.000 0.500 0.234
Cu 0.000 0.500 0.780
Te 0.500 0.000 0.766
CELL_PARAMETERS angstrom
-1.587 3.724 0.046
-2.412 -0.989 -3.098
-4.084 -1.786 3.750
```

Values from the calculation:
- Space-group type: No. 129
- Total magnetic moment: 0.00 μB/atom
- Energy above the lowest structure with this stoichiometry: 0 meV/atom
- Energy: -5.098 eV per atom
- DOS at the Fermi energy: 1.1619 states/eV/atom
- Raw formation energy: 0.408 eV per formula unit

[8]
Computed, not measured: a geometry-optimized YFeCuTe2 structure at the PBE-GGA level of DFT. Values from VASP.

Structure (Quantum ESPRESSO input):
```
&SYSTEM
  ibrav = 0, nat = 5, ntyp = 4
/
ATOMIC_SPECIES
Fe 55.84 Fe.upf
Cu 63.55 Cu.upf
Y 88.91 Y.upf
Te 127.60 Te.upf
ATOMIC_POSITIONS crystal
Fe 0.000 0.000 0.000
Cu 0.500 0.500 0.500
Y 0.000 0.000 0.500
Te 0.500 0.000 0.000
Te 0.000 0.500 0.000
CELL_PARAMETERS angstrom
-2.922 -2.402 -3.203
3.523 0.340 -3.469
1.944 -4.421 1.542
```

Values from the calculation:
- Space-group type: No. 123
- Total magnetic moment: 0.33 μB/atom
- Energy: -4.810 eV per atom
- DOS at the Fermi energy: 0.8114 states/eV/atom
- Raw formation energy: 1.256 eV per formula unit

[9]
Computed, not measured: a geometry-optimized ZnFe2CuTe structure at the PBE-GGA level of DFT. Values from VASP.

Structure (Quantum ESPRESSO input):
```
&SYSTEM
  ibrav = 0, nat = 5, ntyp = 4
/
ATOMIC_SPECIES
Zn 65.41 Zn.upf
Fe 55.84 Fe.upf
Te 127.60 Te.upf
Cu 63.55 Cu.upf
ATOMIC_POSITIONS crystal
Zn 0.500 0.500 0.500
Fe 0.000 0.000 0.500
Fe 0.500 0.000 0.000
Te 0.000 0.500 0.000
Cu 0.000 0.000 0.000
CELL_PARAMETERS angstrom
4.540 0.000 0.000
0.000 4.976 0.000
0.000 0.000 4.540
```

Values from the calculation:
- Space-group type: No. 123
- Total magnetic moment: 1.20 μB/atom
- Energy: -4.072 eV per atom
- DOS at the Fermi energy: 1.7134 states/eV/atom
- Raw formation energy: 5.077 eV per formula unit

[10]
Computed, not measured: a geometry-optimized Th2FeCu structure at the PBE-GGA level of DFT. Values from VASP.

Structure (Quantum ESPRESSO input):
```
&SYSTEM
  ibrav = 0, nat = 4, ntyp = 3
/
ATOMIC_SPECIES
Fe 55.84 Fe.upf
Th 232.04 Th.upf
Cu 63.55 Cu.upf
ATOMIC_POSITIONS crystal
Fe 0.500 0.500 0.000
Th 0.000 0.000 0.235
Th 0.000 0.000 0.765
Cu 0.500 0.500 0.500
CELL_PARAMETERS angstrom
-3.314 0.849 0.585
-0.730 -0.541 -3.349
-1.535 -7.002 1.465
```

Values from the calculation:
- Space-group type: No. 123
- Total magnetic moment: 0.23 μB/atom
- Energy above the lowest structure with this stoichiometry: 129 meV/atom
- Energy: -6.832 eV per atom
- Energy of formation from the pure elements: 0.018 eV per atom
- DOS at the Fermi energy: 1.0418 states/eV/atom

[11]
Computed, not measured: a geometry-optimized Th8Fe2Cu structure at the PBE-GGA level of DFT. Values from VASP.

Structure (Quantum ESPRESSO input):
```
&SYSTEM
  ibrav = 0, nat = 11, ntyp = 3
/
ATOMIC_SPECIES
Th 232.04 Th.upf
Fe 55.84 Fe.upf
Cu 63.55 Cu.upf
ATOMIC_POSITIONS crystal
Th 0.971 0.194 0.757
Th 0.971 0.757 0.194
Th 0.798 0.638 0.638
Th 0.373 0.642 0.902
Th 0.373 0.902 0.642
Th 0.577 0.104 0.360
Fe 0.511 0.739 0.318
Fe 0.511 0.318 0.739
Th 0.167 0.376 0.376
Th 0.577 0.360 0.104
Cu 0.169 0.005 0.005
CELL_PARAMETERS angstrom
5.934 0.187 -0.913
-1.875 6.740 -3.250
0.037 -0.483 7.699
```

Values from the calculation:
- Space-group type: No. 8
- Total magnetic moment: 0.00 μB/atom
- Energy: -7.225 eV per atom
- Energy of formation from the pure elements: 0.083 eV per atom
- DOS at the Fermi energy: 1.2759 states/eV/atom

[12]
Computed, not measured: a geometry-optimized Th4Fe2Cu5 structure at the PBE-GGA level of DFT. Values from VASP.

Structure (Quantum ESPRESSO input):
```
&SYSTEM
  ibrav = 0, nat = 11, ntyp = 3
/
ATOMIC_SPECIES
Fe 55.84 Fe.upf
Cu 63.55 Cu.upf
Th 232.04 Th.upf
ATOMIC_POSITIONS crystal
Fe 0.000 0.048 0.632
Cu 0.000 0.572 0.352
Cu 0.000 0.428 0.648
Th 0.500 0.247 0.391
Th 0.500 0.792 0.154
Cu 0.000 0.156 0.116
Fe 0.000 0.952 0.368
Cu 0.000 0.500 0.000
Th 0.500 0.753 0.609
Th 0.500 0.208 0.846
Cu 0.000 0.844 0.884
CELL_PARAMETERS angstrom
3.955 0.000 0.000
0.000 6.828 -0.179
0.000 -0.127 8.145
```

Values from the calculation:
- Space-group type: No. 10
- Total magnetic moment: 0.00 μB/atom
- Energy: -6.168 eV per atom
- Energy of formation from the pure elements: -0.069 eV per atom
- DOS at the Fermi energy: 0.8094 states/eV/atom